{
  "formula": "PrTlW2O8",
  "functional": "PBE with a Hubbard U",
  "state": "optimized geometry",
  "lattice": [[-1.9379, -5.3128, -0.3104], [3.5361, -4.2337, -1.2844], [2.2561, -4.3041, 7.9111]],
  "species": ["Tl", "O", "W", "O", "O", "O", "O", "Pr", "O", "W", "O", "O"],
  "frac_coords": [[0.0000, 0.0000, 0.0000], [0.7469, 0.4874, 0.6728], [0.7522, 0.7522, 0.7434], [0.3163, 0.3163, 0.0510], [0.9071, 0.5126, 0.3272], [0.4874, 0.0929, 0.6728], [0.2531, 0.9071, 0.3272], [0.5000, 0.5000, 0.5000], [0.6837, 0.6837, 0.9490], [0.2478, 0.2478, 0.2566], [0.5126, 0.2531, 0.3272], [0.0929, 0.7469, 0.6728]],
  "polymorph_energy_ev_per_atom": 0.120
}

***

{
  "formula": "PrTlW2O8",
  "functional": "PBE with a Hubbard U",
  "state": "optimized geometry",
  "lattice": [[7.8308, 0.0205, -0.0054], [0.0891, 7.8304, -0.0054], [3.4747, 3.4444, 5.7662]],
  "species": ["O", "O", "O", "O", "W", "W", "O", "O", "Tl", "O", "O", "O", "Pr", "O", "O", "Tl", "O", "W", "O", "O", "O", "O", "W", "Pr"],
  "frac_coords": [[0.9487, 0.7761, 0.1887], [0.3753, 0.2549, 0.4405], [0.2239, 0.0513, 0.3113], [0.3730, 0.5872, 0.4732], [0.3024, 0.3120, 0.2166], [0.6880, 0.6976, 0.2834], [0.9308, 0.6234, 0.6348], [0.4128, 0.6270, 0.0268], [0.7835, 0.2165, 0.2500], [0.6234, 0.9308, 0.1348], [0.6247, 0.7451, 0.5595], [0.0513, 0.2239, 0.8113], [0.7758, 0.2242, 0.7500], [0.3766, 0.0692, 0.8652], [0.7451, 0.6247, 0.0595], [0.2165, 0.7835, 0.7500], [0.2549, 0.3753, 0.9405], [0.6976, 0.6880, 0.7834], [0.6270, 0.4128, 0.5268], [0.7761, 0.9487, 0.6887], [0.5872, 0.3730, 0.9732], [0.0692, 0.3766, 0.3652], [0.3120, 0.3024, 0.7166], [0.2242, 0.7758, 0.2500]],
  "polymorph_energy_ev_per_atom": 0.000
}

***

{
  "formula": "PrTlW2O8",
  "functional": "PBE with a Hubbard U",
  "state": "optimized geometry",
  "lattice": [[-6.6936, 3.5734, -5.7500], [5.9851, -4.9518, -5.5040], [-3.2161, -4.8949, -3.8739]],
  "species": ["W", "O", "Tl", "Tl", "O", "O", "O", "O", "O", "O", "W", "O", "O", "W", "Pr", "W", "O", "O", "O", "O", "O", "O", "Pr", "O"],
  "frac_coords": [[0.1196, 0.8804, 0.5000], [0.6877, 0.8639, 0.7499], [0.2860, 0.7140, 0.0000], [0.7140, 0.2860, 0.0000], [0.1623, 0.3343, 0.8120], [0.7868, 0.1653, 0.3239], [0.5269, 0.5269, 0.1940], [0.8377, 0.6657, 0.1880], [0.3123, 0.1361, 0.2501], [0.9867, 0.9867, 0.7044], [0.2617, 0.2617, 0.9808], [0.6657, 0.8377, 0.1880], [0.3343, 0.1623, 0.8120], [0.7383, 0.7383, 0.0192], [0.2572, 0.2572, 0.5214], [0.8804, 0.1196, 0.5000], [0.8347, 0.2132, 0.6761], [0.0133, 0.0133, 0.2956], [0.2132, 0.8347, 0.6761], [0.4731, 0.4731, 0.8060], [0.1653, 0.7868, 0.3239], [0.1361, 0.3123, 0.2501], [0.7428, 0.7428, 0.4786], [0.8639, 0.6877, 0.7499]],
  "polymorph_energy_ev_per_atom": 0.105
}

***

{
  "formula": "PrTl2W3O12",
  "functional": "PBE with a Hubbard U",
  "state": "optimized geometry",
  "lattice": [[-0.5266, 7.0120, -3.3140], [-6.4573, 2.3682, -3.6226], [-4.5369, 5.6007, 2.9117]],
  "species": ["O", "O", "O", "O", "O", "O", "W", "Tl", "O", "O", "W", "O", "Tl", "O", "O", "Pr", "O", "W"],
  "frac_coords": [[0.0879, 0.6219, 0.0879], [0.6219, 0.0879, 0.0879], [0.3781, 0.9121, 0.9121], [0.9121, 0.3781, 0.9121], [0.7083, 0.0679, 0.7083], [0.2917, 0.2917, 0.9321], [0.5000, 0.0000, 0.0000], [0.3308, 0.3308, 0.3308], [0.9121, 0.9121, 0.3781], [0.0679, 0.7083, 0.7083], [0.0000, 0.0000, 0.5000], [0.7083, 0.7083, 0.0679], [0.6692, 0.6692, 0.6692], [0.2917, 0.9321, 0.2917], [0.0879, 0.0879, 0.6219], [0.0000, 0.0000, 0.0000], [0.9321, 0.2917, 0.2917], [0.0000, 0.5000, 0.0000]],
  "dft_energy_ev_per_atom": -6.96
}